# PBE-GGA KMgCd2Hg8, optimized geometry
# E_tot (eV per atom): -0.6583
# D(E_F) (states/eV per cell): 8.48
data_KMgCd2Hg8
_chemical_formula_sum 'K2 Mg2 Cd4 Hg16'
_cell_length_a 10.2069
_cell_length_b 6.8312
_cell_length_c 10.7189
_cell_angle_alpha 90.00
_cell_angle_beta 118.25
_cell_angle_gamma 90.00
_symmetry_space_group_name_H-M 'C 1 2/m 1'
_symmetry_Int_Tables_number 12
loop_
_symmetry_equiv_pos_as_xyz
'x,y,z'
'-x,-y,-z'
'-x,y,-z'
'x,-y,z'
'x+1/2,y+1/2,z'
'-x+1/2,-y+1/2,-z'
'-x+1/2,y+1/2,-z'
'x+1/2,-y+1/2,z'
loop_
_atom_site_label
_atom_site_type_symbol
_atom_site_fract_x
_atom_site_fract_y
_atom_site_fract_z
_atom_site_occupancy
K1 K 0.0000 0.0000 0.0000 1
Mg1 Mg 0.0000 0.5000 0.5000 1
Cd1 Cd 0.1355 0.5000 0.2951 1
Hg1 Hg 0.1306 0.2365 0.7388 1
Hg2 Hg 0.1521 0.5000 0.9953 1
Hg3 Hg 0.1687 0.0000 0.3914 1

***

# PBE-GGA KMgCdHg, optimized geometry
# E_tot (eV per atom): -1.0176
# D(E_F) (states/eV per cell): 4.90
data_KMgCdHg
_chemical_formula_sum 'K4 Mg4 Cd4 Hg4'
_cell_length_a 7.6995
_cell_length_b 7.6995
_cell_length_c 7.6995
_cell_angle_alpha 90.00
_cell_angle_beta 90.00
_cell_angle_gamma 90.00
_symmetry_space_group_name_H-M 'F -4 3 m'
_symmetry_Int_Tables_number 216
_symmetry_space_group_name_Hall 'F -4 2 3'
loop_
_atom_site_label
_atom_site_type_symbol
_atom_site_fract_x
_atom_site_fract_y
_atom_site_fract_z
_atom_site_occupancy
K1 K 0.0000 0.0000 0.0000 1
Mg1 Mg 0.0000 0.0000 0.5000 1
Cd1 Cd 0.2500 0.2500 0.2500 1
Hg1 Hg 0.2500 0.2500 0.7500 1

***

# PBE-GGA K2MgCd4Hg3, optimized geometry
# E_tot (eV per atom): -0.9586
# D(E_F) (states/eV per cell): 5.00
data_K2MgCd4Hg3
_chemical_formula_sum 'K2 Mg1 Cd4 Hg3'
_cell_length_a 4.6964
_cell_length_b 4.6964
_cell_length_c 13.3037
_cell_angle_alpha 90.00
_cell_angle_beta 90.00
_cell_angle_gamma 90.00
_symmetry_space_group_name_H-M 'P -4 m 2'
_symmetry_Int_Tables_number 115
loop_
_symmetry_equiv_pos_as_xyz
'x,y,z'
'y,-x,-z'
'-x,-y,z'
'-y,x,-z'
'-x,y,z'
'-y,-x,-z'
'x,-y,z'
'y,x,-z'
loop_
_atom_site_label
_atom_site_type_symbol
_atom_site_fract_x
_atom_site_fract_y
_atom_site_fract_z
_atom_site_occupancy
K1 K 0.0000 0.5000 0.2461 1
Mg1 Mg 0.0000 0.0000 0.5000 1
Cd1 Cd 0.0000 0.0000 0.0000 1
Cd2 Cd 0.0000 0.5000 0.6391 1
Cd3 Cd 0.5000 0.5000 0.0000 1
Hg1 Hg 0.0000 0.5000 0.8566 1
Hg2 Hg 0.5000 0.5000 0.5000 1

***

# PBE-GGA K2NaCd4Hg3, optimized geometry
# E_tot (eV per atom): -0.9429
# D(E_F) (states/eV per cell): 6.01
data_K2NaCd4Hg3
_chemical_formula_sum 'K2 Na1 Cd4 Hg3'
_cell_length_a 4.7810
_cell_length_b 4.7810
_cell_length_c 13.3997
_cell_angle_alpha 90.00
_cell_angle_beta 90.00
_cell_angle_gamma 90.00
_symmetry_space_group_name_H-M 'P -4 m 2'
_symmetry_Int_Tables_number 115
loop_
_symmetry_equiv_pos_as_xyz
'x,y,z'
'y,-x,-z'
'-x,-y,z'
'-y,x,-z'
'-x,y,z'
'-y,-x,-z'
'x,-y,z'
'y,x,-z'
loop_
_atom_site_label
_atom_site_type_symbol
_atom_site_fract_x
_atom_site_fract_y
_atom_site_fract_z
_atom_site_occupancy
K1 K 0.0000 0.5000 0.2347 1
Na1 Na 0.0000 0.0000 0.5000 1
Cd1 Cd 0.0000 0.0000 0.0000 1
Cd2 Cd 0.0000 0.5000 0.6473 1
Cd3 Cd 0.5000 0.5000 0.0000 1
Hg1 Hg 0.0000 0.5000 0.8637 1
Hg2 Hg 0.5000 0.5000 0.5000 1

***

# PBE-GGA K2NaCd3Hg12, optimized geometry
# E_tot (eV per atom): -0.6295
# D(E_F) (states/eV per cell): 16.32
data_K2NaCd3Hg12
_chemical_formula_sum 'K6 Na3 Cd9 Hg36'
_cell_length_a 10.9209
_cell_length_b 10.9209
_cell_length_c 15.7031
_cell_angle_alpha 90.00
_cell_angle_beta 90.00
_cell_angle_gamma 120.00
_symmetry_space_group_name_H-M 'R -3 m'
_symmetry_Int_Tables_number 166
_symmetry_space_group_name_Hall '-R 3 2"'
loop_
_atom_site_label
_atom_site_type_symbol
_atom_site_fract_x
_atom_site_fract_y
_atom_site_fract_z
_atom_site_occupancy
K1 K 0.0000 0.0000 0.1987 1
Na1 Na 0.0000 0.0000 0.5000 1
Cd1 Cd 0.0000 0.5000 0.0000 1
Hg1 Hg 0.0105 0.5053 0.2034 1
Hg2 Hg 0.0143 0.5072 0.6030 1

***

# PBE-GGA K2Na3Cd4Hg2, optimized geometry
# E_tot (eV per atom): -0.9672
# D(E_F) (states/eV per cell): 11.24
data_K2Na3Cd4Hg2
_chemical_formula_sum 'K4 Na6 Cd8 Hg4'
_cell_length_a 5.2857
_cell_length_b 5.2857
_cell_length_c 27.6894
_cell_angle_alpha 90.00
_cell_angle_beta 90.00
_cell_angle_gamma 90.00
_symmetry_space_group_name_H-M 'I 4/m m m'
_symmetry_Int_Tables_number 139
_symmetry_space_group_name_Hall '-I 4 2'
loop_
_atom_site_label
_atom_site_type_symbol
_atom_site_fract_x
_atom_site_fract_y
_atom_site_fract_z
_atom_site_occupancy
K1 K 0.0000 0.0000 0.1909 1
Na1 Na 0.0000 0.0000 0.3392 1
Na2 Na 0.0000 0.0000 0.5000 1
Cd1 Cd 0.0000 0.5000 0.0952 1
Hg1 Hg 0.0000 0.0000 0.0510 1

***

# PBE-GGA K2Na5CdHg2, optimized geometry
# E_tot (eV per atom): -1.1365
# D(E_F) (states/eV per cell): 12.92
data_K2Na5CdHg2
_chemical_formula_sum 'K4 Na10 Cd2 Hg4'
_cell_length_a 12.1416
_cell_length_b 12.1416
_cell_length_c 4.7418
_cell_angle_alpha 90.00
_cell_angle_beta 90.00
_cell_angle_gamma 90.00
_symmetry_space_group_name_H-M 'P 4/m b m'
_symmetry_Int_Tables_number 127
_symmetry_space_group_name_Hall '-P 4 2ab'
loop_
_atom_site_label
_atom_site_type_symbol
_atom_site_fract_x
_atom_site_fract_y
_atom_site_fract_z
_atom_site_occupancy
K1 K 0.1739 0.3261 0.0000 1
Na1 Na 0.0000 0.5000 0.5000 1
Na2 Na 0.0654 0.8027 0.5000 1
Cd1 Cd 0.0000 0.0000 0.0000 1
Hg1 Hg 0.1232 0.6232 0.0000 1

***

# PBE-GGA KNa2CdHg2, optimized geometry
# E_tot (eV per atom): -1.0522
# D(E_F) (states/eV per cell): 4.96
data_KNa2CdHg2
_chemical_formula_sum 'K2 Na4 Cd2 Hg4'
_cell_length_a 4.9754
_cell_length_b 9.5051
_cell_length_c 7.9198
_cell_angle_alpha 90.00
_cell_angle_beta 90.00
_cell_angle_gamma 90.00
_symmetry_space_group_name_H-M 'P m c 21'
_symmetry_Int_Tables_number 26
loop_
_symmetry_equiv_pos_as_xyz
'x,y,z'
'-x,-y,z+1/2'
'-x,y,z'
'x,-y,z+1/2'
loop_
_atom_site_label
_atom_site_type_symbol
_atom_site_fract_x
_atom_site_fract_y
_atom_site_fract_z
_atom_site_occupancy
K1 K 0.0000 0.0728 0.0000 1
Na1 Na 0.0000 0.3162 0.3941 1
Na2 Na 0.5000 0.4323 0.0564 1
Cd1 Cd 0.5000 0.2062 0.6820 1
Hg1 Hg 0.0000 0.3817 0.7756 1
Hg2 Hg 0.5000 0.1253 0.3001 1

***

# PBE-GGA KNa3CdHg, optimized geometry
# E_tot (eV per atom): -1.0970
# D(E_F) (states/eV per cell): 10.97
data_KNa3CdHg
_chemical_formula_sum 'K4 Na12 Cd4 Hg4'
_cell_length_a 8.4908
_cell_length_b 15.5568
_cell_length_c 6.7317
_cell_angle_alpha 90.00
_cell_angle_beta 90.00
_cell_angle_gamma 90.00
_symmetry_space_group_name_H-M 'C m c m'
_symmetry_Int_Tables_number 63
_symmetry_space_group_name_Hall '-C 2c 2'
loop_
_atom_site_label
_atom_site_type_symbol
_atom_site_fract_x
_atom_site_fract_y
_atom_site_fract_z
_atom_site_occupancy
K1 K 0.0000 0.2220 0.2500 1
Na1 Na 0.0000 0.3506 0.7500 1
Na2 Na 0.1971 0.0000 0.0000 1
Cd1 Cd 0.0000 0.4485 0.2500 1
Hg1 Hg 0.0000 0.1441 0.7500 1

***

# PBE-GGA KNa2CdHg, optimized geometry
# E_tot (eV per atom): -0.9967
# D(E_F) (states/eV per cell): 3.38
# ΔE to the lowest computed polymorph (meV/atom): 34
data_KNa2CdHg
_chemical_formula_sum 'K1 Na2 Cd1 Hg1'
_cell_length_a 5.9715
_cell_length_b 5.9715
_cell_length_c 5.4673
_cell_angle_alpha 90.00
_cell_angle_beta 90.00
_cell_angle_gamma 90.00
_symmetry_space_group_name_H-M 'P 4/m m m'
_symmetry_Int_Tables_number 123
_symmetry_space_group_name_Hall '-P 4 2'
loop_
_atom_site_label
_atom_site_type_symbol
_atom_site_fract_x
_atom_site_fract_y
_atom_site_fract_z
_atom_site_occupancy
K1 K 0.0000 0.0000 0.0000 1
Na1 Na 0.0000 0.5000 0.5000 1
Cd1 Cd 0.5000 0.5000 0.5000 1
Hg1 Hg 0.5000 0.5000 0.0000 1

***

# PBE-GGA KNa2Cd2Hg2, optimized geometry
# E_tot (eV per atom): -1.0312
# D(E_F) (states/eV per cell): 8.38
data_KNa2Cd2Hg2
_chemical_formula_sum 'K3 Na6 Cd6 Hg6'
_cell_length_a 5.1716
_cell_length_b 5.1716
_cell_length_c 27.9131
_cell_angle_alpha 90.00
_cell_angle_beta 90.00
_cell_angle_gamma 120.00
_symmetry_space_group_name_H-M 'R -3 m'
_symmetry_Int_Tables_number 166
_symmetry_space_group_name_Hall '-R 3 2"'
loop_
_atom_site_label
_atom_site_type_symbol
_atom_site_fract_x
_atom_site_fract_y
_atom_site_fract_z
_atom_site_occupancy
K1 K 0.0000 0.0000 0.0000 1
Na1 Na 0.0000 0.0000 0.1340 1
Cd1 Cd 0.0000 0.0000 0.2523 1
Hg1 Hg 0.0000 0.0000 0.4207 1

***

# PBE-GGA KNaCd2Hg, optimized geometry
# E_tot (eV per atom): -1.0364
# D(E_F) (states/eV per cell): 4.74
# ΔE to the lowest computed polymorph (meV/atom): 0
data_KNaCd2Hg
_chemical_formula_sum 'K2 Na2 Cd4 Hg2'
_cell_length_a 4.6328
_cell_length_b 4.8991
_cell_length_c 13.8211
_cell_angle_alpha 90.00
_cell_angle_beta 90.00
_cell_angle_gamma 90.00
_symmetry_space_group_name_H-M 'I m m 2'
_symmetry_Int_Tables_number 44
loop_
_symmetry_equiv_pos_as_xyz
'x,y,z'
'-x,-y,z'
'-x,y,z'
'x,-y,z'
'x+1/2,y+1/2,z+1/2'
'-x+1/2,-y+1/2,z+1/2'
'-x+1/2,y+1/2,z+1/2'
'x+1/2,-y+1/2,z+1/2'
loop_
_atom_site_label
_atom_site_type_symbol
_atom_site_fract_x
_atom_site_fract_y
_atom_site_fract_z
_atom_site_occupancy
K1 K 0.0000 0.0000 0.0000 1
Na1 Na 0.0000 0.5000 0.7556 1
Cd1 Cd 0.0000 0.0000 0.6148 1
Cd2 Cd 0.0000 0.5000 0.2595 1
Hg1 Hg 0.0000 0.0000 0.4020 1

***

> What is the E_tot in the first record?

-0.6583 eV per atom

***

> What is the D(E_F) in the first record?

8.48 states/eV per cell

***

> Look up the E_tot of the seventh one.

-1.1365 eV per atom

***

What did the first record say?
# PBE-GGA KMgCd2Hg8, optimized geometry
# E_tot (eV per atom): -0.6583
# D(E_F) (states/eV per cell): 8.48
data_KMgCd2Hg8
_chemical_formula_sum 'K2 Mg2 Cd4 Hg16'
_cell_length_a 10.2069
_cell_length_b 6.8312
_cell_length_c 10.7189
_cell_angle_alpha 90.00
_cell_angle_beta 118.25
_cell_angle_gamma 90.00
_symmetry_space_group_name_H-M 'C 1 2/m 1'
_symmetry_Int_Tables_number 12
loop_
_symmetry_equiv_pos_as_xyz
'x,y,z'
'-x,-y,-z'
'-x,y,-z'
'x,-y,z'
'x+1/2,y+1/2,z'
'-x+1/2,-y+1/2,-z'
'-x+1/2,y+1/2,-z'
'x+1/2,-y+1/2,z'
loop_
_atom_site_label
_atom_site_type_symbol
_atom_site_fract_x
_atom_site_fract_y
_atom_site_fract_z
_atom_site_occupancy
K1 K 0.0000 0.0000 0.0000 1
Mg1 Mg 0.0000 0.5000 0.5000 1
Cd1 Cd 0.1355 0.5000 0.2951 1
Hg1 Hg 0.1306 0.2365 0.7388 1
Hg2 Hg 0.1521 0.5000 0.9953 1
Hg3 Hg 0.1687 0.0000 0.3914 1